Entry 1:
The following is a GGA-PBE calculation of CoNi2Cl after structural relaxation, from the Alexandria database.

abc: 3.080 2.870 6.318
angles: 90.00 90.22 90.00
Space group Pm (No. 6)
One atom of each set of equivalent atoms:
Co: 0.000 0.000 0.000
Ni: 0.498 0.500 0.809
Ni: 0.996 0.000 0.607
Cl: 0.007 0.500 0.301

Relative energy among the computed polymorphs, meV per atom: 0

Entry 2:
The following is a GGA-PBE calculation of Tm12InPt6 after structural relaxation, from the Alexandria database.

abc: 9.839 9.839 9.839
angles: 90.00 90.00 90.00
Space group Im-3 (No. 204)
One atom of each set of equivalent atoms:
Tm: 0.000 0.180 0.298
In: 0.000 0.000 0.000
Pt: 0.000 0.360 0.500

Energy of formation from the pure elements, meV per atom: -880

Entry 3:
The following is a GGA-PBE calculation of Cu2OsO6 after structural relaxation, from the Alexandria database.

abc: 10.019 3.382 7.077
angles: 90.00 104.16 90.00
Space group C2/m (No. 12)
One atom of each set of equivalent atoms:
Cu: 0.220 0.000 0.153
Os: 0.000 0.000 0.500
O: 0.098 0.000 0.321
O: 0.102 0.500 0.623
O: 0.192 0.500 0.064

Electronic total energy, eV/atom: -6.0005

Entry 4:
The following is a GGA-PBE calculation of Hf2PaRh after structural relaxation, from the Alexandria database.

abc: 3.281 3.281 7.721
angles: 90.00 90.00 90.00
Space group P4/mmm (No. 123)
One atom of each set of equivalent atoms:
Hf: 0.000 0.000 0.210
Pa: 0.500 0.500 0.500
Rh: 0.500 0.500 0.000

Energy of formation from the pure elements, meV per atom: -372
Relative energy among the computed polymorphs, meV per atom: 0

Entry 5:
The following is a GGA-PBE calculation of K2AcTlPb2 after structural relaxation, from the Alexandria database.

abc: 5.104 10.517 8.454
angles: 90.00 90.00 90.00
Space group Pmc2_1 (No. 26)
One atom of each set of equivalent atoms:
K: 0.000 0.077 0.000
K: 0.500 0.164 0.318
Ac: 0.500 0.457 0.956
Tl: 0.000 0.325 0.622
Pb: 0.000 0.386 0.237
Pb: 0.500 0.181 0.734

Energy of formation from the pure elements, meV per atom: -269

Entry 6:
The following is a GGA-PBE calculation of Y3BeBr3 after structural relaxation, from the Alexandria database.

abc: 11.480 11.480 11.480
angles: 90.00 90.00 90.00
Space group I4_132 (No. 214)
One atom of each set of equivalent atoms:
Y: 0.111 0.361 0.125
Be: 0.125 0.125 0.125
Br: 0.117 0.133 0.625

Electronic total energy, eV/atom: -5.0989

Entry 7:
The following is a GGA-PBE calculation of AlSbTe2H after structural relaxation, from the Alexandria database.

abc: 5.432 5.432 5.273
angles: 90.00 90.00 90.00
Space group P4/mmm (No. 123)
One atom of each set of equivalent atoms:
Al: 0.000 0.000 0.000
Sb: 0.000 0.000 0.500
Te: 0.000 0.500 0.000
H: 0.500 0.500 0.500

Relative energy among the computed polymorphs, meV per atom: 351

Entry 8:
The following is a GGA-PBE calculation of Ta2CrIn after structural relaxation, from the Alexandria database.

abc: 2.924 4.461 5.572
angles: 90.00 102.06 90.00
Space group Pm (No. 6)
One atom of each set of equivalent atoms:
Ta: 0.000 0.000 0.000
Ta: 0.304 0.500 0.754
Cr: 0.754 0.500 0.188
In: 0.643 0.000 0.475

Energy of formation from the pure elements, meV per atom: 254

| no. | calculated volume (A^3/atom) | M_tot (μB per cell) |
| --- | --- | --- |
| 1 | 14.0 | 3.3 |
| 2 | 25.1 | 0.0 |
| 3 | 12.9 | 0.0 |
| 4 | 20.8 | 0.0 |
| 5 | 37.8 | 0.0 |
| 6 | 27.0 | 0.0 |
| 7 | 31.1 | 1.0 |
| 8 | 17.8 | 0.0 |